Crystalline Mg4Cd2Sn at its relaxed geometry, computed with PBE-GGA.

```
data_Mg4Cd2Sn
_chemical_formula_sum 'Mg8 Cd4 Sn2'
_space_group_name_H-M_alt 'P 1 21/m 1'
_space_group_IT_number 11
_cell_length_a 7.576
_cell_length_b 6.387
_cell_length_c 7.791
_cell_angle_alpha 90.00
_cell_angle_beta 118.60
_cell_angle_gamma 90.00
loop_
_space_group_symop_operation_xyz
'x,y,z'
'-x,-y,-z'
'-x,y+1/2,-z'
'x,-y+1/2,z'
loop_
_atom_site_label
_atom_site_fract_x
_atom_site_fract_y
_atom_site_fract_z
Mg1 0.013 0.250 0.497
Mg2 0.167 0.502 0.247
Mg3 0.269 0.250 0.932
Cd1 0.222 0.750 0.935
Cd2 0.443 0.250 0.659
Sn1 0.418 0.750 0.658
```

- ΔH_f (0 K) (kcal/mol of atoms) = -0.7
- magnetization (μB/f.u.) = 0.000